Record 1
Crystalline MoSI3 at its relaxed geometry. Source: Alexandria via LeMat-Bulk, functional PBE-GGA.

D(E_F) ... 2.0 states/eV/f.u.
Offset from the most stable computed form ... 0.297 eV/atom
Magnetization ... 4.82 μB/cell
Space group ... Pm-3m, No. 221

Cell lengths 5.5505, 5.5505, 5.5505 Å; angles 90.00, 90.00, 90.00 degrees
Fractional positions:
1 I 0.0000 0.5000 0.0000
2 I 0.5000 0.0000 0.0000
3 I 0.0000 0.0000 0.5000
4 S 0.0000 0.0000 0.0000
5 Mo 0.5000 0.5000 0.5000



Record 2
Crystalline AgSb2Br at its relaxed geometry. Source: Alexandria via LeMat-Bulk, functional PBE-GGA.

D(E_F) ... 1.4 states/eV/f.u.
Offset from the most stable computed form ... 0.312 eV/atom
Magnetization ... 0.00 μB/cell
Space group ... P4/mmm, No. 123

Cell lengths 7.8436, 4.1130, 4.1130 Å; angles 90.00, 90.00, 90.00 degrees
Fractional positions:
1 Sb 0.0000 0.0000 0.0000
2 Sb 0.0000 0.5000 0.5000
3 Br 0.5000 0.0000 0.5000
4 Ag 0.5000 0.5000 0.0000